[1]
This record from the Alexandria database describes a geometry-optimized Pm4Sm5Ho4 structure. The functional is GGA-PBE.

a b c (Å): 5.075 9.546 9.546
angles (deg): 85.95 74.58 74.58
Positions (direct):
Ho: 0.231 0.615 0.923
Ho: 0.846 0.923 0.385
Ho: 0.154 0.077 0.615
Ho: 0.769 0.385 0.077
Pm: 0.923 0.460 0.694
Pm: 0.383 0.694 0.540
Pm: 0.617 0.306 0.460
Pm: 0.077 0.540 0.306
Sm: 0.000 0.000 0.000
Sm: 0.540 0.769 0.152
Sm: 0.692 0.848 0.769
Sm: 0.308 0.152 0.231
Sm: 0.460 0.231 0.848

Values from the calculation:
ρ   7.69 g/cm3
Formation enthalpy at 0 K   0.02 eV per atom
M_tot   0.00 μB/f.u.

---

[2]
This record from the Alexandria database describes a geometry-optimized SmAlGa2Pd4 structure. The functional is GGA-PBE.

a b c (Å): 4.337 4.337 8.917
angles (deg): 75.92 75.92 60.00
Positions (direct):
Ga: 0.755 0.755 0.734
Ga: 0.245 0.245 0.266
Pd: 0.403 0.403 0.791
Pd: 0.597 0.597 0.209
Pd: 0.865 0.865 0.405
Pd: 0.135 0.135 0.595
Al: 0.500 0.500 0.500
Sm: 0.000 0.000 0.000

Values from the calculation:
ρ   8.84 g/cm3
Formation enthalpy at 0 K   -0.78 eV per atom
M_tot   0.00 μB/f.u.

---

[3]
This record from the Alexandria database describes a geometry-optimized TaTeSe2 structure. The functional is GGA-PBE.

a b c (Å): 10.112 10.112 10.112
angles (deg): 19.27 19.27 19.27
Positions (direct):
Te: 0.750 0.750 0.750
Se: 0.525 0.525 0.525
Se: 0.975 0.975 0.975
Ta: 0.250 0.250 0.250

Values from the calculation:
ρ   7.87 g/cm3
ΔE_f (raw)   -0.477 eV/atom
M_tot   0.00 μB/f.u.

---

[4]
This record from the Alexandria database describes a geometry-optimized ScNiOs structure. The functional is GGA-PBE.

a b c (Å): 3.932 3.932 6.861
angles (deg): 106.65 106.65 90.00
Positions (direct):
Sc: 0.334 0.334 0.668
Sc: 0.666 0.666 0.332
Ni: 0.875 0.875 0.750
Ni: 0.125 0.125 0.250
Os: 0.500 0.000 0.000
Os: 0.000 0.500 0.000

Values from the calculation:
ρ   10.06 g/cm3
ΔE to the lowest computed polymorph   305.8 meV/atom
Formation enthalpy at 0 K   -0.14 eV per atom
M_tot   0.00 μB/f.u.

---

[5]
This record from the Alexandria database describes a geometry-optimized CaAc4Er structure. The functional is GGA-PBE.

a b c (Å): 7.255 7.255 7.255
angles (deg): 60.00 60.00 60.00
Positions (direct):
Ac: 0.122 0.626 0.626
Ac: 0.626 0.626 0.122
Ac: 0.626 0.122 0.626
Ac: 0.626 0.626 0.626
Ca: 0.250 0.250 0.250
Er: 0.000 0.000 0.000

Values from the calculation:
ρ   6.86 g/cm3
ΔE to the lowest computed polymorph   272.1 meV/atom
Formation enthalpy at 0 K   0.31 eV per atom
M_tot   0.00 μB/f.u.

---

[6]
This record from the Alexandria database describes a geometry-optimized MgSc3Te structure. The functional is GGA-PBE.

a b c (Å): 5.330 5.330 5.330
angles (deg): 90.00 90.00 90.00
Positions (direct):
Te: 0.000 0.000 0.000
Sc: 0.000 0.000 0.500
Sc: 0.500 0.000 0.000
Sc: 0.000 0.500 0.000
Mg: 0.500 0.500 0.500

Values from the calculation:
ρ   3.14 g/cm3
ΔE to the lowest computed polymorph   0.0 meV/atom
ΔE_f (raw)   0.049 eV/atom
M_tot   0.00 μB/f.u.

---

> Among the records above, which one has the highest ρ?

ScNiOs

---

> What is the M_tot in the fifth record?

0.00 μB/f.u.